No. 1
CdCu2Pd | PBE | optimized geometry

Properties
The space group is F-43m.

Structure (POSCAR):
```
CdCu2Pd
1.0
0.000 3.103 3.103
3.103 0.000 3.103
3.103 3.103 0.000
Cd Cu Pd
1 2 1
direct
0.000 0.000 0.000 Cd
0.250 0.250 0.250 Cu
0.500 0.500 0.500 Cu
0.750 0.750 0.750 Pd
```

=====

No. 2
NaSrBiPt | PBE | optimized geometry

Properties
The calculation puts the energy above the most stable polymorph in this dataset at 67.2 kJ/mol of formula units. The space group is F-43m.

Structure (POSCAR):
```
NaSrBiPt
1.0
0.000 3.752 3.752
3.752 0.000 3.752
3.752 3.752 0.000
Na Sr Bi Pt
1 1 1 1
direct
0.000 0.000 0.000 Na
0.500 0.500 0.500 Sr
0.750 0.750 0.750 Bi
0.250 0.250 0.250 Pt
```

=====

No. 3
ZnBr2 | PBE | optimized geometry

Properties
The space group is Fd-3m.

Structure (POSCAR):
```
ZnBr2
1.0
0.000 4.449 4.449
4.449 0.000 4.449
4.449 4.449 0.000
Zn Br
2 4
direct
0.125 0.125 0.125 Zn
0.875 0.875 0.875 Zn
0.000 0.500 0.500 Br
0.500 0.000 0.500 Br
0.500 0.500 0.000 Br
0.500 0.500 0.500 Br
```

=====

Number 1: energy -3.457 eV/atom. Number 2: energy -3.595 eV/atom. Number 3: energy -0.918 eV/atom.